Entry 1:
LiLa5 after structural relaxation, computed with PBE.

Summary:
N(E_F) = 8.4 states/eV per cell
Energy relative to the elements = 32 meV/atom

a = 3.732 Å, b = 3.732 Å, c = 14.641 Å
α = 90.00°, β = 90.00°, γ = 90.00°
Space group P4/mmm (No. 123)
Symmetry-distinct sites (fractional):
Li 0.000 0.000 0.000 (multiplicity 1)
La 0.000 0.000 0.318 (multiplicity 2)
La 0.500 0.500 0.149 (multiplicity 2)
La 0.500 0.500 0.500 (multiplicity 1)

***

Entry 2:
LiLa after structural relaxation, computed with PBE.

Summary:
N(E_F) = 12.8 states/eV per cell
Energy relative to the elements = 348 meV/atom

a = 6.255 Å, b = 6.255 Å, c = 6.235 Å
α = 90.00°, β = 90.00°, γ = 90.00°
Space group P4_2/mnm (No. 136)
Symmetry-distinct sites (fractional):
Li 0.163 0.163 0.000 (multiplicity 4)
La 0.179 0.179 0.500 (multiplicity 4)

***

Entry 3:
LiLa3 after structural relaxation, computed with PBE.

Summary:
N(E_F) = 27.3 states/eV per cell
Energy relative to the elements = 174 meV/atom

a = 8.029 Å, b = 8.029 Å, c = 8.029 Å
α = 90.00°, β = 90.00°, γ = 90.00°
Space group Fm-3m (No. 225)
Symmetry-distinct sites (fractional):
Li 0.000 0.000 0.000 (multiplicity 4)
La 0.000 0.000 0.500 (multiplicity 4)
La 0.250 0.250 0.250 (multiplicity 8)

***

Entry 4:
Li4LaLu after structural relaxation, computed with PBE.

Summary:
N(E_F) = 25.3 states/eV per cell
Energy relative to the elements = 113 meV/atom

a = 8.356 Å, b = 8.356 Å, c = 8.356 Å
α = 90.00°, β = 90.00°, γ = 90.00°
Space group F-43m (No. 216)
Symmetry-distinct sites (fractional):
Li 0.124 0.124 0.124 (multiplicity 16)
La 0.000 0.000 0.500 (multiplicity 4)
Lu 0.250 0.250 0.750 (multiplicity 4)

***

Entry 5:
Li2LaLu after structural relaxation, computed with PBE.

Summary:
N(E_F) = 4.7 states/eV per cell
Energy relative to the elements = 158 meV/atom

a = 5.436 Å, b = 5.436 Å, c = 3.586 Å
α = 90.00°, β = 90.00°, γ = 90.00°
Space group P4/mmm (No. 123)
Symmetry-distinct sites (fractional):
Li 0.000 0.500 0.000 (multiplicity 2)
La 0.000 0.000 0.500 (multiplicity 1)
Lu 0.500 0.500 0.500 (multiplicity 1)

***

Entry 6:
Li2LaLu after structural relaxation, computed with PBE.

Summary:
N(E_F) = 24.1 states/eV per cell
Energy relative to the elements = 157 meV/atom

a = 7.548 Å, b = 7.548 Å, c = 7.548 Å
α = 90.00°, β = 90.00°, γ = 90.00°
Space group Fm-3m (No. 225)
Symmetry-distinct sites (fractional):
Li 0.250 0.250 0.250 (multiplicity 8)
La 0.000 0.000 0.000 (multiplicity 4)
Lu 0.000 0.000 0.500 (multiplicity 4)

***

The lowest N(E_F) belongs to which entry? number 5

***

What did the second record say?
LiLa after structural relaxation, computed with PBE.

Summary:
N(E_F) = 12.8 states/eV per cell
Energy relative to the elements = 348 meV/atom

a = 6.255 Å, b = 6.255 Å, c = 6.235 Å
α = 90.00°, β = 90.00°, γ = 90.00°
Space group P4_2/mnm (No. 136)
Symmetry-distinct sites (fractional):
Li 0.163 0.163 0.000 (multiplicity 4)
La 0.179 0.179 0.500 (multiplicity 4)

***

Look up the N(E_F) of the fifth one. 4.7 states/eV per cell